Density functional theory data (GGA-PBE) for a relaxed TlIn2Cu crystal.

* DOS at the Fermi energy: 0.4575 states/eV per atom
* ΔH_f (0 K): 241 meV per atom
* uncorrected energy: -2.743 eV per atom

a b c (Å): 5.602 5.602 5.602
angles (deg): 132.09 132.09 70.08
Fractional positions:
Cu  0.750  0.250  0.500
In  0.000  0.000  0.000
In  0.500  0.500  0.000
Tl  0.250  0.750  0.500